Entry 1:
{
  "formula": "Ba3SbRh",
  "functional": "GGA-PBEsol",
  "state": "relaxed",
  "lattice_angstrom": [[6.413, 0.000, 0.000], [0.000, 6.413, 0.000], [0.000, 0.000, 6.413]],
  "species": ["Sb", "Rh", "Ba", "Ba", "Ba"],
  "fractional_positions": [[0.000, 0.000, 0.000], [0.500, 0.500, 0.500], [0.000, 0.500, 0.000], [0.000, 0.000, 0.500], [0.500, 0.000, 0.000]],
  "raw_formation_energy_ev_per_fu": 1.8,
  "magnetic_moment_mub_per_atom": 0.047
}

=====

Entry 2:
{
  "formula": "BaSbRh2",
  "functional": "GGA-PBEsol",
  "state": "relaxed",
  "lattice_angstrom": [[-2.136, 2.946, -0.059], [-2.911, -2.171, -3.042], [-2.498, -1.738, 3.631]],
  "species": ["Ba", "Rh", "Rh", "Sb"],
  "fractional_positions": [[0.500, 0.000, 0.000], [0.000, 0.500, 0.000], [0.000, 0.000, 0.500], [0.500, 0.500, 0.500]],
  "raw_formation_energy_ev_per_fu": 0.0,
  "magnetic_moment_mub_per_atom": 0.000
}

=====

Entry 3:
{
  "formula": "BaSb2Rh",
  "functional": "GGA-PBEsol",
  "state": "relaxed",
  "lattice_angstrom": [[3.490, 0.000, 0.000], [0.000, 3.905, 0.000], [-1.745, -1.952, 7.817]],
  "species": ["Ba", "Rh", "Sb", "Sb"],
  "fractional_positions": [[0.558, 0.558, 0.115], [0.292, 0.792, 0.584], [0.915, 0.915, 0.831], [0.735, 0.235, 0.470]],
  "raw_formation_energy_ev_per_fu": -1.6,
  "magnetic_moment_mub_per_atom": 0.000
}